A relaxed structure of AlGaIN2, computed with GGA-PBEsol.

Results
VASP energy: -20.26 eV/f.u.
ρ: 4.77 Mg/m³

extended XYZ file:
```
5
Lattice="3.876 0.000 0.000 0.000 3.876 0.000 0.000 0.000 5.830" Properties=species:S:1:pos:R:3 pbc="T T T"
N 1.938 0.000 0.000
Ga 0.000 0.000 0.000
Al 1.938 1.938 2.915
I 0.000 0.000 2.915
N 0.000 1.938 0.000
```